1.
Tb5Ga3 | OQMD via LeMat-Bulk | PBE | relaxed; DFT total energy = -4.513 eV/atom; ρ = 8.01 g/cm3; space group = I4/mcm
1.0
-3.8218 3.8218 7.1270
3.8218 -3.8218 7.1270
3.8218 3.8218 -7.1270
Tb Ga
10 6
Cartesian
0.0000 0.0000 0.0000 Tb
5.1241 1.3023 -2.1097 Tb
1.3023 2.5195 -2.1097 Tb
5.1241 1.3023 2.1097 Tb
1.3023 2.5195 2.1097 Tb
0.0000 0.0000 7.1270 Tb
2.5195 1.3023 5.0174 Tb
-1.3023 2.5195 5.0174 Tb
2.5195 1.3023 9.2367 Tb
-1.3023 2.5195 9.2367 Tb
2.8920 0.9298 0.0000 Ga
0.0000 0.0000 3.5635 Ga
2.8920 -0.9298 7.1270 Ga
0.9298 4.7516 0.0000 Ga
0.0000 0.0000 10.6906 Ga
0.9298 2.8920 7.1270 Ga

***

2.
TaBPO | OQMD via LeMat-Bulk | PBE | relaxed; E above lowest polymorph = 0 meV/atom; DFT total energy = -8.017 eV/atom; ρ = 8.16 g/cm3; space group = Pmc2_1
1.0
3.0688 0.0000 0.0000
0.0000 6.6592 0.0000
0.0000 0.0000 4.7523
Ta B P O
2 2 2 2
Cartesian
0.0000 0.8916 0.0000 Ta
0.0000 5.7676 2.3761 Ta
1.5344 2.6776 2.9024 B
1.5344 3.9816 0.5263 B
0.0000 1.6022 2.3628 P
0.0000 5.0570 4.7389 P
1.5344 2.6818 4.5063 O
1.5344 3.9774 2.1301 O

***

3.
ThSiAu | OQMD via LeMat-Bulk | PBE | relaxed; DFT total energy = -6.144 eV/atom; ρ = 11.28 g/cm3; space group = P-6m2
1.0
4.3100 0.0000 0.0000
-2.1550 3.7326 0.0000
0.0000 0.0000 4.1842
Th Si Au
1 1 1
Cartesian
0.0000 0.0000 0.0000 Th
0.0000 2.4884 2.0921 Si
2.1550 1.2442 2.0921 Au